Compound: Cu2MoCl
Source: Alexandria
Functional: PBE-GGA
Structure: relaxed

Cell: 8.205 8.205 8.205 Å, 20.52 20.52 20.52°
Fractional coordinates of all 4 atoms:
Cu1 0.246 0.246 0.246
Cu2 0.754 0.754 0.754
Mo1 0.000 0.000 0.000
Cl1 0.500 0.500 0.500

Calculated values
Space group   R-3m
Offset from the most stable computed form   86 meV per atom
Calculated total energy   -4.9340 eV/atom
ΔE_f (raw)   284 meV/atom

---

Compound: CuMoCl4
Source: Alexandria
Functional: PBE-GGA
Structure: relaxed

Cell: 5.807 5.807 5.807 Å, 60.00 60.00 60.00°
Fractional coordinates of all 6 atoms:
Cu1 0.000 0.000 0.000
Mo1 0.750 0.750 0.750
Cl1 0.375 0.375 0.375
Cl2 0.375 0.375 0.876
Cl3 0.375 0.876 0.375
Cl4 0.876 0.375 0.375

Calculated values
Space group   F-43m
Offset from the most stable computed form   1607 meV per atom
Calculated total energy   -2.5794 eV/atom
ΔE_f (raw)   1140 meV/atom

---

Compound: CuMo2Cl
Source: Alexandria
Functional: PBE-GGA
Structure: relaxed

Cell: 2.707 3.939 5.719 Å, 90.00 90.00 90.00°
Fractional coordinates of all 4 atoms:
Cu1 0.000 0.000 0.000
Mo1 0.500 0.500 0.240
Mo2 0.500 0.500 0.760
Cl1 0.500 0.000 0.500

Calculated values
Space group   Pmmm
Offset from the most stable computed form   314 meV per atom
Calculated total energy   -6.3509 eV/atom
ΔE_f (raw)   550 meV/atom

---

Compound: Cu2MoCl
Source: Alexandria
Functional: PBE-GGA
Structure: relaxed

Cell: 4.732 4.732 2.745 Å, 90.00 90.00 90.00°
Fractional coordinates of all 4 atoms:
Cu1 0.000 0.500 0.000
Cu2 0.500 0.000 0.000
Mo1 0.000 0.000 0.500
Cl1 0.500 0.500 0.500

Calculated values
Space group   P4/mmm
Offset from the most stable computed form   627 meV per atom
Calculated total energy   -4.3939 eV/atom
ΔE_f (raw)   824 meV/atom

---

Compound: CuMoCl2
Source: Alexandria
Functional: PBE-GGA
Structure: relaxed

Cell: 4.588 4.588 4.588 Å, 125.24 125.24 81.15°
Fractional coordinates of all 4 atoms:
Cu1 0.000 0.000 0.000
Mo1 0.500 0.500 0.000
Cl1 0.250 0.750 0.500
Cl2 0.750 0.250 0.500

Calculated values
Space group   I4/mmm
Offset from the most stable computed form   695 meV per atom
Calculated total energy   -4.0733 eV/atom
ΔE_f (raw)   582 meV/atom

---

Compound: CuMoCl2
Source: Alexandria
Functional: PBE-GGA
Structure: relaxed

Cell: 3.157 3.157 10.274 Å, 90.00 90.00 124.79°
Fractional coordinates of all 4 atoms:
Cu1 0.000 0.000 0.000
Mo1 0.000 0.000 0.500
Cl1 0.500 0.500 0.311
Cl2 0.500 0.500 0.689

Calculated values
Space group   Cmmm
Offset from the most stable computed form   362 meV per atom
Calculated total energy   -4.4070 eV/atom
ΔE_f (raw)   248 meV/atom

---

Compound: Cu2MoCl
Source: Alexandria
Functional: PBE-GGA
Structure: relaxed

Cell: 2.764 4.309 4.908 Å, 90.00 90.00 90.00°
Fractional coordinates of all 4 atoms:
Cu1 0.000 0.000 0.000
Cu2 0.500 0.500 0.000
Mo1 0.000 0.500 0.500
Cl1 0.500 0.000 0.500

Calculated values
Space group   Pmmm
Offset from the most stable computed form   394 meV per atom
Calculated total energy   -4.6264 eV/atom
ΔE_f (raw)   591 meV/atom

---

Compound: Cu2MoCl
Source: Alexandria
Functional: PBE-GGA
Structure: relaxed

Cell: 4.469 4.469 5.028 Å, 100.56 100.56 36.41°
Fractional coordinates of all 4 atoms:
Cu1 0.000 0.000 0.000
Cu2 0.744 0.744 0.172
Mo1 0.253 0.253 0.690
Cl1 0.506 0.506 0.522

Calculated values
Space group   Cm
Offset from the most stable computed form   249 meV per atom
Calculated total energy   -4.7716 eV/atom
ΔE_f (raw)   446 meV/atom

---

Compound: Cu2MoCl6
Source: Alexandria
Functional: PBE-GGA
Structure: relaxed

Cell: 7.353 7.353 7.353 Å, 51.61 51.61 51.61°
Fractional coordinates of all 9 atoms:
Cu1 0.000 0.000 0.000
Cu2 0.141 0.141 0.141
Mo1 0.404 0.404 0.404
Cl1 0.024 0.327 0.632
Cl2 0.174 0.783 0.479
Cl3 0.327 0.632 0.024
Cl4 0.479 0.174 0.783
Cl5 0.632 0.024 0.327
Cl6 0.783 0.479 0.174

Calculated values
Space group   R3
Calculated total energy   -4.0121 eV/atom
ΔE_f (raw)   -667 meV/atom

---

Compound: Cu2MoCl
Source: Alexandria
Functional: PBE-GGA
Structure: relaxed

Cell: 4.316 4.316 4.316 Å, 60.00 60.00 60.00°
Fractional coordinates of all 4 atoms:
Cu1 0.000 0.000 0.000
Cu2 0.250 0.250 0.250
Mo1 0.750 0.750 0.750
Cl1 0.500 0.500 0.500

Calculated values
Space group   F-43m
Offset from the most stable computed form   556 meV per atom
Calculated total energy   -4.4649 eV/atom
ΔE_f (raw)   753 meV/atom

---

Compound: CuMo4Cl
Source: Alexandria
Functional: PBE-GGA
Structure: relaxed

Cell: 5.258 5.258 5.258 Å, 60.00 60.00 60.00°
Fractional coordinates of all 6 atoms:
Cu1 0.000 0.000 0.000
Mo1 0.130 0.623 0.623
Mo2 0.623 0.130 0.623
Mo3 0.623 0.623 0.130
Mo4 0.623 0.623 0.623
Cl1 0.250 0.250 0.250

Calculated values
Space group   F-43m
Calculated total energy   -7.2470 eV/atom
ΔE_f (raw)   964 meV/atom

---

Compound: CuMoCl
Source: Alexandria
Functional: PBE-GGA
Structure: relaxed

Cell: 6.772 6.772 6.772 Å, 155.32 155.32 35.18°
Fractional coordinates of all 3 atoms:
Cu1 0.000 0.000 0.000
Mo1 0.374 0.374 0.000
Cl1 0.747 0.747 0.000

Calculated values
Space group   I4mm
Offset from the most stable computed form   114 meV per atom
Calculated total energy   -5.2568 eV/atom
ΔE_f (raw)   334 meV/atom

---

The lowest ΔE_f (raw) belongs to which entry? Cu2MoCl6